First-principles (PBE-GGA) data for a geometry-optimized BeCd2Ag2 structure, as listed in the Alexandria database.

The structure belongs to space group P4/mbm (No. 127); the cell edges are 6.3410, 6.3410 and 4.5435 Å and the angles 90.00°, 90.00° and 90.00°. The asymmetric unit holds Be at (0.0000, 0.0000, 0.0000), Cd at (0.1633, 0.3367, 0.5000) and Ag at (0.1579, 0.6579, 0.0000).

As for the energy of formation: 0.19 eV per atom. The calculation puts the uncorrected energy at -10.3 eV per formula unit. As for the energy above the most stable polymorph in this dataset: 0 meV/atom. Its volume is 91 Å³/f.u. The magnetic moment is 0.00 μB/cell.